# 1
Computed, not measured: Ca2Hg2Ge after structural relaxation at the PBE-GGA level of DFT.

Structure (POSCAR):
```
Ca2Hg2Ge
1.0
8.144 0.000 0.000
0.000 8.144 0.000
0.000 0.000 4.019
Ca Hg Ge
4 4 2
Cartesian
1.414 2.658 0.000
2.658 6.729 0.000
5.486 1.414 0.000
6.729 5.486 0.000
1.046 5.118 2.010
3.026 1.046 2.010
5.118 7.098 2.010
7.098 3.026 2.010
0.000 0.000 2.010
4.072 4.072 2.010
```

Properties
Formation enthalpy at 0 K (meV/atom): -359
Energy relative to the lowest polymorph listed for this composition (eV per atom): 0.000
Space-group type: P4/mbm
M_tot (μB per cell): 0.00

=====

# 2
Computed, not measured: W2C3N6 after structural relaxation at the PBE-GGA level of DFT.

Structure (POSCAR):
```
W2C3N6
1.0
2.539 1.466 10.324
-2.539 1.466 10.324
0.000 -2.932 10.324
W C N
4 6 12
Cartesian
0.000 0.000 5.162
0.000 0.000 10.325
0.000 0.000 20.648
0.000 0.000 25.811
-1.689 0.006 12.905
-0.850 -1.460 18.067
0.839 -1.466 12.905
-0.839 1.466 18.067
0.850 1.460 12.905
1.689 -0.006 18.067
-1.634 -0.052 11.672
-1.767 0.025 14.138
-0.905 -1.518 16.834
-0.772 -1.441 19.300
0.862 -1.389 11.672
0.862 -1.543 14.138
-0.862 1.543 16.834
-0.862 1.389 19.300
0.772 1.441 11.672
0.905 1.518 14.138
1.767 -0.025 16.834
1.634 0.052 19.300
```

Properties
Uncorrected formation energy (eV per atom): 0.17
Space-group type: R-3c
M_tot (μB per cell): 0.00

=====

# 3
Computed, not measured: KBaCrGe2 after structural relaxation at the PBE-GGA level of DFT.

Structure (POSCAR):
```
KBaCrGe2
1.0
4.971 0.000 0.000
0.000 4.971 0.000
0.000 0.000 5.523
K Ba Cr Ge
1 1 1 2
Cartesian
0.000 0.000 0.000
2.486 2.486 0.000
0.000 0.000 2.761
0.000 2.486 2.761
2.486 0.000 2.761
```

Properties
Formation enthalpy at 0 K (meV/atom): 141
Space-group type: P4/mmm
M_tot (μB per cell): 2.92